# 1
Material: LaCrBr2
Method: DFT, PBE
State: optimized geometry Values from VASP.

Results
Density   5.96 g/cm3
Excess energy over the best structure of this formula in the dataset   132.3 meV per atom

Geometry as Quantum ESPRESSO input:
```
&SYSTEM
  ibrav = 0, nat = 4, ntyp = 3
/
ATOMIC_SPECIES
La 138.91 La.upf
Cr 52.00 Cr.upf
Br 79.90 Br.upf
ATOMIC_POSITIONS crystal
La 0.000 0.000 0.000
Cr 0.500 0.500 0.000
Br 0.000 0.500 0.500
Br 0.500 0.000 0.500
CELL_PARAMETERS angstrom
4.909 0.000 0.000
0.000 4.909 0.000
0.000 0.000 4.052
```

***

# 2
Material: Ca3Al2Ag7
Method: DFT, PBE
State: optimized geometry Values from VASP.

Results
Density   6.03 g/cm3
Formation enthalpy at 0 K   -0.24 eV/atom

Geometry as Quantum ESPRESSO input:
```
&SYSTEM
  ibrav = 0, nat = 12, ntyp = 3
/
ATOMIC_SPECIES
Ca 40.08 Ca.upf
Al 26.98 Al.upf
Ag 107.87 Ag.upf
ATOMIC_POSITIONS crystal
Ca 0.000 0.000 0.000
Ca 0.142 0.142 0.142
Ca 0.858 0.858 0.858
Al 0.333 0.333 0.333
Al 0.667 0.667 0.667
Ag 0.078 0.580 0.580
Ag 0.420 0.420 0.922
Ag 0.420 0.922 0.420
Ag 0.500 0.500 0.500
Ag 0.580 0.078 0.580
Ag 0.580 0.580 0.078
Ag 0.922 0.420 0.420
CELL_PARAMETERS angstrom
2.875 1.660 8.930
-2.875 1.660 8.930
0.000 -3.320 8.930
```

***

# 3
Material: ThPa2RuN4
Method: DFT, PBE
State: optimized geometry Values from VASP.

Results
Density   11.92 g/cm3
Total energy   -9.91 eV/atom

Geometry as Quantum ESPRESSO input:
```
&SYSTEM
  ibrav = 0, nat = 16, ntyp = 4
/
ATOMIC_SPECIES
Th 232.04 Th.upf
Pa 231.04 Pa.upf
Ru 101.07 Ru.upf
N 14.01 N.upf
ATOMIC_POSITIONS crystal
Th 0.109 0.891 0.750
Th 0.891 0.109 0.250
Pa 0.369 0.631 0.559
Pa 0.369 0.631 0.941
Pa 0.631 0.369 0.059
Pa 0.631 0.369 0.441
Ru 0.154 0.846 0.250
Ru 0.846 0.154 0.750
N 0.000 0.000 0.000
N 0.000 0.000 0.500
N 0.280 0.720 0.117
N 0.280 0.720 0.383
N 0.458 0.542 0.750
N 0.542 0.458 0.250
N 0.720 0.280 0.617
N 0.720 0.280 0.883
CELL_PARAMETERS angstrom
1.724 -5.914 0.000
1.724 5.914 0.000
0.000 0.000 11.630
```

***

# 4
Material: Ba2ZnPt
Method: DFT, PBE
State: optimized geometry Values from VASP.

Results
Density   6.72 g/cm3
Formation enthalpy at 0 K   -0.29 eV/atom

Geometry as Quantum ESPRESSO input:
```
&SYSTEM
  ibrav = 0, nat = 4, ntyp = 3
/
ATOMIC_SPECIES
Ba 137.33 Ba.upf
Zn 65.41 Zn.upf
Pt 195.08 Pt.upf
ATOMIC_POSITIONS crystal
Ba 0.000 0.000 0.000
Ba 0.500 0.500 0.440
Zn 0.500 0.500 0.769
Pt 0.000 0.000 0.666
CELL_PARAMETERS angstrom
3.769 0.000 0.000
0.000 3.769 0.000
0.000 0.000 9.308
```

***

# 5
Material: Sr3Zn3Rh2
Method: DFT, PBE
State: optimized geometry Values from VASP.

Results
Density   5.30 g/cm3
Formation enthalpy at 0 K   -0.28 eV/atom
Excess energy over the best structure of this formula in the dataset   90.9 meV per atom

Geometry as Quantum ESPRESSO input:
```
&SYSTEM
  ibrav = 0, nat = 8, ntyp = 3
/
ATOMIC_SPECIES
Sr 87.62 Sr.upf
Zn 65.41 Zn.upf
Rh 102.91 Rh.upf
ATOMIC_POSITIONS crystal
Sr 0.000 0.000 0.000
Sr 0.161 0.161 0.577
Sr 0.839 0.839 0.423
Zn 0.351 0.351 0.906
Zn 0.500 0.500 0.500
Zn 0.649 0.649 0.094
Rh 0.217 0.217 0.091
Rh 0.783 0.783 0.909
CELL_PARAMETERS angstrom
8.300 -2.239 0.000
8.300 2.239 0.000
-0.942 0.000 5.602
```

***

# 6
Material: BaMnTe2
Method: DFT, PBE
State: optimized geometry Values from VASP.

Results
Density   5.97 g/cm3
Total energy   -4.84 eV/atom

Geometry as Quantum ESPRESSO input:
```
&SYSTEM
  ibrav = 0, nat = 8, ntyp = 3
/
ATOMIC_SPECIES
Ba 137.33 Ba.upf
Mn 54.94 Mn.upf
Te 127.60 Te.upf
ATOMIC_POSITIONS crystal
Ba 0.000 0.000 0.000
Ba 0.750 0.250 0.500
Mn 0.250 0.750 0.500
Mn 0.500 0.500 0.000
Te 0.231 0.625 0.106
Te 0.375 0.481 0.606
Te 0.519 0.125 0.894
Te 0.875 0.769 0.394
CELL_PARAMETERS angstrom
-4.004 4.004 3.883
4.004 -4.004 3.883
4.004 4.004 -3.883
```

***

# 7
Material: U2PaC3
Method: DFT, PBE
State: optimized geometry Values from VASP.

Results
Density   13.31 g/cm3
Formation enthalpy at 0 K   -0.23 eV/atom
Excess energy over the best structure of this formula in the dataset   0.0 meV per atom

Geometry as Quantum ESPRESSO input:
```
&SYSTEM
  ibrav = 0, nat = 6, ntyp = 3
/
ATOMIC_SPECIES
U 238.03 U.upf
Pa 231.04 Pa.upf
C 12.01 C.upf
ATOMIC_POSITIONS crystal
U 0.166 0.166 0.000
U 0.834 0.834 0.000
Pa 0.500 0.500 0.000
C 0.000 0.000 0.000
C 0.328 0.328 0.000
C 0.672 0.672 0.000
CELL_PARAMETERS angstrom
-1.766 1.766 7.431
1.766 -1.766 7.431
1.766 1.766 -7.431
```

***

# 8
Material: TaRe3Ir
Method: DFT, PBE
State: optimized geometry Values from VASP.

Results
Density   15.28 g/cm3
Formation enthalpy at 0 K   2.56 eV/atom
Excess energy over the best structure of this formula in the dataset   467.0 meV per atom

Geometry as Quantum ESPRESSO input:
```
&SYSTEM
  ibrav = 0, nat = 5, ntyp = 3
/
ATOMIC_SPECIES
Ta 180.95 Ta.upf
Re 186.21 Re.upf
Ir 192.22 Ir.upf
ATOMIC_POSITIONS crystal
Ta 0.000 0.000 0.000
Re 0.000 0.000 0.500
Re 0.000 0.500 0.000
Re 0.500 0.000 0.000
Ir 0.500 0.500 0.500
CELL_PARAMETERS angstrom
4.661 0.000 0.000
0.000 4.661 0.000
0.000 0.000 4.661
```

***

# 9
Material: Ca4SeS3
Method: DFT, PBE
State: optimized geometry Values from VASP.

Results
Density   2.89 g/cm3
Total energy   -5.10 eV/atom

Geometry as Quantum ESPRESSO input:
```
&SYSTEM
  ibrav = 0, nat = 16, ntyp = 3
/
ATOMIC_SPECIES
Ca 40.08 Ca.upf
Se 78.96 Se.upf
S 32.06 S.upf
ATOMIC_POSITIONS crystal
Ca 0.242 0.129 0.001
Ca 0.242 0.871 0.501
Ca 0.249 0.379 0.495
Ca 0.249 0.621 0.995
Ca 0.751 0.379 0.005
Ca 0.751 0.621 0.505
Ca 0.758 0.129 0.499
Ca 0.758 0.871 0.999
Se 0.500 0.126 0.750
Se 0.500 0.874 0.250
S 0.000 0.126 0.250
S 0.000 0.376 0.750
S 0.000 0.624 0.250
S 0.000 0.874 0.750
S 0.500 0.376 0.250
S 0.500 0.624 0.750
CELL_PARAMETERS angstrom
7.078 0.000 0.000
0.000 8.176 0.000
-2.360 0.000 6.671
```

***

# 10
Material: Pm2SbH
Method: DFT, PBE
State: optimized geometry Values from VASP.

Results
Density   6.87 g/cm3
Excess energy over the best structure of this formula in the dataset   464.1 meV per atom

Geometry as Quantum ESPRESSO input:
```
&SYSTEM
  ibrav = 0, nat = 4, ntyp = 3
/
ATOMIC_SPECIES
Pm 145.00 Pm.upf
Sb 121.76 Sb.upf
H 1.01 H.upf
ATOMIC_POSITIONS crystal
Pm 0.000 0.500 0.000
Pm 0.500 0.000 0.000
Sb 0.000 0.000 0.500
H 0.500 0.500 0.500
CELL_PARAMETERS angstrom
5.031 0.000 0.000
0.000 5.031 0.000
0.000 0.000 3.940
```

***

# 11
Material: Na2PaSiO6
Method: DFT, PBE
State: optimized geometry Values from VASP.

Results
Density   5.44 g/cm3
Total energy   -7.23 eV/atom

Geometry as Quantum ESPRESSO input:
```
&SYSTEM
  ibrav = 0, nat = 10, ntyp = 4
/
ATOMIC_SPECIES
Na 22.99 Na.upf
Pa 231.04 Pa.upf
Si 28.09 Si.upf
O 16.00 O.upf
ATOMIC_POSITIONS crystal
Na 0.250 0.250 0.250
Na 0.750 0.750 0.750
Pa 0.000 0.000 0.000
Si 0.500 0.500 0.500
O 0.235 0.726 0.312
O 0.274 0.688 0.765
O 0.312 0.235 0.726
O 0.688 0.765 0.274
O 0.726 0.312 0.235
O 0.765 0.274 0.688
CELL_PARAMETERS angstrom
2.784 1.607 4.565
-2.784 1.607 4.565
0.000 -3.214 4.565
```

***

# 12
Material: Ni2Te3Pd
Method: DFT, PBE
State: optimized geometry Values from VASP.

Results
Density   7.65 g/cm3
Excess energy over the best structure of this formula in the dataset   0.0 meV per atom

Geometry as Quantum ESPRESSO input:
```
&SYSTEM
  ibrav = 0, nat = 12, ntyp = 3
/
ATOMIC_SPECIES
Ni 58.69 Ni.upf
Te 127.60 Te.upf
Pd 106.42 Pd.upf
ATOMIC_POSITIONS crystal
Ni 0.044 0.250 0.419
Ni 0.390 0.750 0.898
Ni 0.610 0.250 0.102
Ni 0.956 0.750 0.581
Te 0.040 0.750 0.843
Te 0.271 0.750 0.496
Te 0.412 0.750 0.158
Te 0.588 0.250 0.842
Te 0.729 0.250 0.504
Te 0.960 0.250 0.157
Pd 0.219 0.250 0.700
Pd 0.781 0.750 0.300
CELL_PARAMETERS angstrom
7.336 0.000 0.000
0.000 3.778 0.000
-2.198 0.000 9.507
```

***

- Among the records above, which one has the highest density?
  TaRe3Ir